Entry 1:
Below is LiCaDyCo after structural relaxation, with properties calculated at the GGA-PBE level.

Unit cell a=6.9630 b=6.9630 c=6.9630 alpha=90.00 beta=90.00 gamma=90.00
Last column: nearest neighbours and their distance in Å.
Space group F-43m (No. 216)
One atom of each set of equivalent atoms:
Li (0.0000, 0.0000, 0.0000) (multiplicity 4)  4 Dy 3.02, 4 Ca 3.02
Ca (0.2500, 0.2500, 0.2500) (multiplicity 4)  4 Li 3.02, 4 Co 3.02
Dy (0.2500, 0.2500, 0.7500) (multiplicity 4)  4 Co 3.02, 4 Li 3.02
Co (0.0000, 0.0000, 0.5000) (multiplicity 4)  4 Ca 3.02, 4 Dy 3.02

Output
The formation energy from the elements comes out at 44 kJ/mol of formula units.

=====

Entry 2:
Below is In7Hg3 after structural relaxation, with properties calculated at the GGA-PBE level.

Unit cell a=10.2669 b=10.2669 c=6.0185 alpha=90.00 beta=90.00 gamma=120.00
Last column: nearest neighbours and their distance in Å.
Space group P6_3mc (No. 186)
One atom of each set of equivalent atoms:
In (0.0696, 0.5348, 0.0000) (multiplicity 6)  4 Hg 3.13-3.30, 3 In 3.15-3.25
In (0.1142, 0.2284, 0.8228) (multiplicity 6)  3 Hg 3.08-3.28
In (0.3333, 0.6667, 0.6513) (multiplicity 2)  3 Hg 3.03, 3 In 3.15
Hg (0.1995, 0.3990, 0.3405) (multiplicity 6)  8 In 3.03-3.30

Output
The formation energy from the elements comes out at 28 kJ/mol of formula units. As for the relative energy among the computed polymorphs: 0.0139 eV/atom.

=====

Entry 3:
Below is Dy6TlPt after structural relaxation, with properties calculated at the GGA-PBE level.

Unit cell a=7.0884 b=7.1035 c=7.2487 alpha=90.29 beta=118.90 gamma=119.80
Last column: nearest neighbours and their distance in Å.
Space group P-1 (No. 2)
One atom of each set of equivalent atoms:
Dy (0.0364, 0.0716, 0.2573) (multiplicity 2)  1 Pt 2.75, 1 Tl 3.07
Dy (0.2912, 0.7201, 0.2566) (multiplicity 2)  1 Pt 2.75, 1 Tl 3.06
Dy (0.3108, 0.5326, 0.7435) (multiplicity 2)  1 Pt 2.75, 1 Tl 3.06
Tl (0.5000, 0.0000, 0.0000) (multiplicity 1)  6 Dy 3.06-3.07
Pt (0.5000, 0.5000, 0.5000) (multiplicity 1)  6 Dy 2.75

Output
The formation energy from the elements comes out at -128 kJ/mol of formula units.

=====

Entry 4:
Below is Cd2InCuPb after structural relaxation, with properties calculated at the GGA-PBE level.

Unit cell a=5.0841 b=5.0841 c=5.0232 alpha=90.00 beta=90.00 gamma=90.00
Last column: nearest neighbours and their distance in Å.
Space group P4/mmm (No. 123)
One atom of each set of equivalent atoms:
Cd (0.0000, 0.5000, 0.0000) (multiplicity 2)  2 Cu 2.54
In (0.0000, 0.0000, 0.5000) (multiplicity 1)  2 Cu 2.51
Cu (0.0000, 0.0000, 0.0000) (multiplicity 1)  2 In 2.51, 4 Cd 2.54
Pb (0.5000, 0.5000, 0.5000) (multiplicity 1)  8 Cd 3.57, 4 In 3.60

Output
The formation energy from the elements comes out at 89 kJ/mol of formula units.

=====

Entry 5:
Below is KCd2Ag after structural relaxation, with properties calculated at the GGA-PBE level.

Unit cell a=5.1672 b=5.8001 c=7.4648 alpha=90.00 beta=90.00 gamma=90.00
Last column: nearest neighbours and their distance in Å.
Space group Imm2 (No. 44)
One atom of each set of equivalent atoms:
K (0.0000, 0.0000, 0.0000) (multiplicity 2)  4 Ag 3.28-3.40, 5 Cd 3.31-3.61
Cd (0.0000, 0.0000, 0.5167) (multiplicity 2)  2 Ag 2.94, 2 Cd 3.10
Cd (0.0000, 0.5000, 0.7872) (multiplicity 2)  2 Cd 3.10, 1 Ag 3.11, 4 K 3.31-3.36
Ag (0.0000, 0.5000, 0.2041) (multiplicity 2)  3 Cd 2.94-3.11, 2 K 3.28

Output
The formation energy from the elements comes out at 29 kJ/mol of formula units. As for the relative energy among the computed polymorphs: 0.1460 eV/atom.

=====

Entry 6:
Below is Ca2HgRuRh after structural relaxation, with properties calculated at the GGA-PBE level.

Unit cell a=5.1506 b=5.1506 c=5.1527 alpha=90.00 beta=90.00 gamma=90.00
Last column: nearest neighbours and their distance in Å.
Space group P4/mmm (No. 123)
One atom of each set of equivalent atoms:
Ca (0.0000, 0.5000, 0.0000) (multiplicity 2)  2 Ru 2.58
Hg (0.0000, 0.0000, 0.5000) (multiplicity 1)  2 Ru 2.58
Ru (0.0000, 0.0000, 0.0000) (multiplicity 1)  4 Ca 2.58, 2 Hg 2.58
Rh (0.5000, 0.5000, 0.5000) (multiplicity 1)  4 Hg 3.64, 8 Ca 3.64

Output
The formation energy from the elements comes out at 330 kJ/mol of formula units.

=====

Entry 7:
Below is Pm12Sn5H2 after structural relaxation, with properties calculated at the GGA-PBE level.

Unit cell a=15.4308 b=9.2814 c=8.5757 alpha=90.00 beta=113.90 gamma=90.00
Last column: nearest neighbours and their distance in Å.
Space group C2/m (No. 12)
One atom of each set of equivalent atoms:
Pm (0.0000, 0.0000, 0.1972) (multiplicity 4)  1 Sn 3.13, 3 Pm 3.38-3.47
Pm (0.0743, 0.5000, 0.7273) (multiplicity 4)  2 H 2.29
Pm (0.1275, 0.1929, 0.5668) (multiplicity 8)  1 H 2.32
Pm (0.1524, 0.2555, 0.1226) (multiplicity 8)  3 Sn 3.13-3.25, 1 Pm 3.40
Sn (0.0000, 0.5000, 0.0000) (multiplicity 2)  6 Pm 2.99-3.13
Sn (0.2213, 0.0000, 0.9396) (multiplicity 4)  8 Pm 3.13-3.43
Sn (0.2346, 0.5000, 0.5502) (multiplicity 4)  7 Pm 3.24-3.55
H (0.0000, 0.3496, 0.5000) (multiplicity 4)  4 Pm 2.29-2.32

=====

Entry 8:
Below is TiNbCd after structural relaxation, with properties calculated at the GGA-PBE level.

Unit cell a=2.9096 b=4.7773 c=8.1880 alpha=90.00 beta=94.93 gamma=90.00
Last column: nearest neighbours and their distance in Å.
Space group P2_1/m (No. 11)
One atom of each set of equivalent atoms:
Ti (0.0226, 0.2500, 0.2593) (multiplicity 2)  4 Nb 2.81-3.00, 2 Ti 2.91, 2 Cd 2.98
Nb (0.3378, 0.7500, 0.4336) (multiplicity 2)  4 Nb 2.76-2.91, 4 Ti 2.81-3.00, 1 Cd 2.93
Cd (0.4190, 0.2500, 0.9064) (multiplicity 2)  4 Cd 2.86-2.91, 1 Nb 2.93, 2 Ti 2.98

Output
The formation energy from the elements comes out at 7 kJ/mol of formula units. As for the relative energy among the computed polymorphs: 0.0599 eV/atom.

=====

Which energy belongs to each record? In order, -3.793 -1.979 -4.668 -2.290 -1.369 -3.502 -4.785 -6.269 eV per atom.
Which D(E_F) belongs to each record? In order, 0.725 0.312 1.266 0.478 0.349 0.920 0.822 1.142 states/eV per atom.
Which spin magnetization belongs to each record? In order, 0.0 0.0 0.0 0.0 0.0 0.9 0.0 0.6 μB/f.u..